1.
Entry from Alexandria via LeMat-Bulk: an optimized crystal structure of Sr2P6O17 (GGA-PBEsol).

Geometry as POSCAR:
```
Sr2P6O17
1.0
7.1803 0.0000 0.0000
0.0000 13.3720 0.0000
-1.9036 0.0000 6.9692
Sr P O
4 12 34
direct
0.1812 0.0000 0.3764
0.2164 0.2844 0.6723
0.7836 0.7844 0.3277
0.8188 0.5000 0.6236
0.0139 0.2197 0.1002
0.2451 0.5413 0.0251
0.2674 0.5109 0.4504
0.3173 0.7329 0.4985
0.3196 0.0341 0.8800
0.3398 0.8200 0.8845
0.6602 0.3200 0.1155
0.6804 0.5341 0.1200
0.6827 0.2329 0.5015
0.7326 0.0109 0.5496
0.7549 0.0413 0.9749
0.9861 0.7197 0.8998
0.0807 0.1781 0.2989
0.1065 0.4481 0.4828
0.1218 0.8158 0.8902
0.1468 0.2493 0.9853
0.1471 0.4762 0.8642
0.1546 0.6475 0.0322
0.1639 0.8088 0.4152
0.2085 0.6260 0.4633
0.2228 0.0217 0.0357
0.2411 0.0968 0.7057
0.2553 0.4945 0.2243
0.3488 0.9250 0.7843
0.3654 0.7401 0.7342
0.4586 0.5666 0.0230
0.4690 0.4899 0.5611
0.4798 0.8095 0.0719
0.4945 0.2303 0.5481
0.5055 0.7303 0.4519
0.5202 0.3095 0.9281
0.5310 0.9899 0.4389
0.5414 0.0666 0.9770
0.6346 0.2401 0.2658
0.6512 0.4250 0.2157
0.7447 0.9945 0.7757
0.7589 0.5968 0.2943
0.7772 0.5217 0.9643
0.7915 0.1260 0.5367
0.8361 0.3088 0.5848
0.8454 0.1475 0.9678
0.8532 0.7493 0.0147
0.8529 0.9762 0.1358
0.8782 0.3158 0.1098
0.8935 0.9481 0.5172
0.9193 0.6781 0.7011
```

Output
Total magnetization, μB per atom: 0.00
Fermi-level density of states, states/eV/f.u.: 0.00
Uncorrected formation energy, eV/atom: -2.395
Total DFT energy (no corrections), eV/cell: -375.075
Space group: P2_1 (4)

***

2.
Entry from Alexandria via LeMat-Bulk: an optimized crystal structure of SrP2O2 (GGA-PBEsol).

Geometry as POSCAR:
```
SrP2O2
1.0
4.2414 0.0000 0.0000
0.0000 4.2414 0.0000
0.0000 0.0000 6.5726
Sr P O
1 2 2
direct
0.0000 0.0000 0.0000
0.0000 0.0000 0.5000
0.5000 0.5000 0.5000
0.0000 0.5000 0.0000
0.5000 0.0000 0.0000
```

Output
Total magnetization, μB per atom: 0.39
Fermi-level density of states, states/eV/f.u.: 4.19
Uncorrected formation energy, eV/atom: 0.591
Total DFT energy (no corrections), eV/cell: -20.967
Offset from the most stable computed form, meV/atom: 1380.5
Space group: P4/mmm (123)

***

3.
Entry from Alexandria via LeMat-Bulk: an optimized crystal structure of SrP2O6 (GGA-PBEsol).

Geometry as POSCAR:
```
SrP2O6
1.0
7.3958 0.0000 0.0000
0.0000 18.6467 0.0000
-0.0250 0.0000 7.3964
Sr P O
8 16 48
direct
0.0056 0.0000 0.0066
0.0087 0.3742 0.4924
0.4939 0.6235 0.0063
0.4942 0.7486 0.5091
0.5061 0.1235 0.9937
0.5058 0.2486 0.4909
0.9913 0.8742 0.5076
0.9944 0.5000 0.9934
0.0090 0.1718 0.9472
0.0085 0.2030 0.5451
0.0522 0.3270 0.0116
0.0534 0.0472 0.4891
0.4553 0.0778 0.4886
0.4560 0.2963 0.0107
0.4897 0.4522 0.9493
0.4916 0.4216 0.5458
0.5084 0.9216 0.4542
0.5103 0.9522 0.0507
0.5440 0.7963 0.9893
0.5447 0.5778 0.5114
0.9466 0.5472 0.5109
0.9478 0.8270 0.9884
0.9910 0.6718 0.0528
0.9915 0.7030 0.4549
0.0290 0.8736 0.8447
0.0313 0.5001 0.6522
0.0429 0.6243 0.5248
0.0427 0.7496 0.9760
0.0480 0.3568 0.8241
0.0548 0.0187 0.6778
0.0772 0.1892 0.7471
0.1600 0.6274 0.0529
0.1609 0.7473 0.4591
0.1670 0.2350 0.4489
0.1686 0.1390 0.0409
0.2531 0.0646 0.4197
0.2537 0.3099 0.0764
0.3191 0.8938 0.4577
0.3283 0.4835 0.0417
0.3429 0.9976 0.0463
0.3503 0.3747 0.4600
0.4241 0.4360 0.7474
0.4474 0.6083 0.6710
0.4551 0.8746 0.9749
0.4589 0.7500 0.8467
0.4599 0.1232 0.6564
0.4621 0.2675 0.8222
0.4755 0.4996 0.4552
0.5245 0.9996 0.5448
0.5379 0.7675 0.1778
0.5401 0.6232 0.3436
0.5411 0.2500 0.1533
0.5449 0.3746 0.0251
0.5526 0.1083 0.3290
0.5759 0.9360 0.2526
0.6497 0.8747 0.5400
0.6571 0.4976 0.9537
0.6717 0.9835 0.9583
0.6809 0.3938 0.5423
0.7463 0.8099 0.9236
0.7469 0.5646 0.5803
0.8314 0.6390 0.9591
0.8330 0.7350 0.5511
0.8391 0.2473 0.5409
0.8400 0.1274 0.9471
0.9228 0.6892 0.2529
0.9452 0.5187 0.3222
0.9520 0.8568 0.1759
0.9571 0.1243 0.4752
0.9573 0.2496 0.0240
0.9687 0.0001 0.3478
0.9710 0.3736 0.1553
```

Output
Total magnetization, μB per atom: 0.00
Fermi-level density of states, states/eV/f.u.: 0.00
Uncorrected formation energy, eV/atom: -2.536
Total DFT energy (no corrections), eV/cell: -541.940
Space group: P2_1 (4)

***

4.
Entry from Alexandria via LeMat-Bulk: an optimized crystal structure of SrPO3 (GGA-PBEsol).

Geometry as POSCAR:
```
SrPO3
1.0
3.7700 0.0000 0.0000
0.0000 3.7700 0.0000
0.0000 0.0000 3.7700
Sr P O
1 1 3
direct
0.0000 0.0000 0.0000
0.5000 0.5000 0.5000
0.0000 0.5000 0.5000
0.5000 0.0000 0.5000
0.5000 0.5000 0.0000
```

Output
Total magnetization, μB per atom: 0.00
Fermi-level density of states, states/eV/f.u.: 0.75
Uncorrected formation energy, eV/atom: -2.058
Total DFT energy (no corrections), eV/cell: -33.669
Space group: Pm-3m (221)